# Ac4La15Er (PBE, relaxed)
data_Ac4La15Er
_chemical_formula_sum 'Ac4 La15 Er1'
_cell_length_a 5.336
_cell_length_b 5.336
_cell_length_c 26.630
_cell_angle_alpha 90.00
_cell_angle_beta 90.00
_cell_angle_gamma 90.00
_space_group_name_H-M_alt 'P 1'
_space_group_IT_number 1
_space_group_name_Hall 'P 1'
loop_
_atom_site_label
_atom_site_type_symbol
_atom_site_fract_x
_atom_site_fract_y
_atom_site_fract_z
Ac1 Ac 0.000 0.000 0.197
Ac2 Ac 0.000 0.000 0.399
Ac3 Ac 0.000 0.000 0.601
Ac4 Ac 0.000 0.000 0.803
La1 La 0.500 0.500 0.000
La2 La 0.500 0.500 0.195
La3 La 0.500 0.500 0.399
La4 La 0.500 0.500 0.601
La5 La 0.500 0.500 0.805
La6 La 0.500 0.000 0.096
La7 La 0.500 0.000 0.298
La8 La 0.500 0.000 0.500
La9 La 0.500 0.000 0.702
La10 La 0.500 0.000 0.904
La11 La 0.000 0.500 0.096
La12 La 0.000 0.500 0.298
La13 La 0.000 0.500 0.500
La14 La 0.000 0.500 0.702
La15 La 0.000 0.500 0.904
Er1 Er 0.000 0.000 0.000
# **Total magnetization**: 0.0 Bohr magnetons per cell
# **Calculated formation energy**: 0.02 eV per atom
# **Raw total energy**: -4.727 eV per atom